1) ## TiAgO (PBE)

Data for a relaxed structure of TiAgO.

```
TiAgO
1.0
-3.1147 0.6090 0.8382
0.6635 -2.0856 -2.4465
0.1417 -3.8742 3.3412
Ti Ag O
1 1 1
Cartesian
-1.7845 -2.2263 1.4140
-0.5959 -1.1874 -1.3516
0.0709 -1.9371 1.6706
```

***

2) ## TiAgO (PBE)

Data for a relaxed structure of TiAgO.

```
TiAgO
1.0
-1.0056 2.0407 4.4637
-1.7866 -2.2644 0.6327
10.4103 -7.1296 3.8788
Ti Ag O
4 4 4
Cartesian
8.8602 -5.0090 7.0911
0.5444 -0.0799 1.2513
2.7618 -2.5764 5.4681
4.8563 -4.7769 3.5071
1.7668 -0.2019 4.2660
7.6379 -4.8870 4.0764
6.0786 -4.8989 6.5218
1.5394 -2.4544 2.4534
3.8090 -3.6767 4.4876
-0.5028 1.0203 2.2318
-0.8933 -1.1322 0.3164
5.2051 -3.5648 1.9394
```

***

Most stable structure: 2)

***

1) ## TiAgO (PBE)

Data for a relaxed structure of TiAgO.

```
TiAgO
1.0
3.0582 0.0000 0.0000
-1.5291 2.6485 0.0000
0.0000 0.0000 5.6927
Ti Ag O
1 1 1
Cartesian
1.5291 0.8828 1.8837
0.0000 0.0000 5.2925
0.0000 0.0000 2.7329
```

***

2) ## TiAgO (PBE)

Data for a relaxed structure of TiAgO.

```
TiAgO
1.0
3.0385 -0.0097 0.3312
1.5095 2.6370 0.3312
1.7478 1.0097 12.2820
Ag Ti O
2 2 2
Cartesian
1.3530 0.7816 0.8408
2.6105 1.5080 3.4333
3.8684 2.2347 6.0085
1.8418 1.0640 10.5472
2.2674 1.3098 6.5650
3.4425 1.9887 9.9908
```

***

Most stable structure: 2)

***

1) ## TiAgO (PBE)

Data for a relaxed structure of TiAgO.

```
TiAgO
1.0
-3.7420 1.0987 4.2554
1.6457 -1.4186 1.8134
7.0009 8.8390 0.5614
Ti Ag O
4 4 4
Cartesian
-2.1376 2.6122 3.9834
2.1857 6.3224 5.1708
6.5412 8.2889 0.5482
3.8636 3.1601 1.1742
2.2740 5.4876 2.2292
-0.4036 0.3587 2.8552
0.0976 3.3431 2.5268
4.4209 7.0533 3.7142
5.1679 7.0442 0.8208
2.4903 1.9154 1.4468
0.3952 5.9578 4.3021
-2.2824 0.8290 4.9282
```

***

2) ## TiAgO (PBE)

Data for a relaxed structure of TiAgO.

```
TiAgO
1.0
2.8872 0.0010 -0.0043
1.4434 5.0652 -0.0234
0.0207 0.4404 6.2519
Ti Ag O
2 2 2
Cartesian
2.0507 0.7562 0.4032
3.5130 3.8025 5.2301
2.0664 4.5864 2.7467
2.0716 1.8668 3.5815
0.6075 2.1069 0.3771
2.0706 4.9924 5.9914
```

***

3) ## TiAgO (PBE)

Data for a relaxed structure of TiAgO.

```
TiAgO
1.0
-0.5339 -1.0630 -2.5598
4.5215 -2.4847 0.0888
-2.4464 -4.3102 3.9580
Ti Ag O
2 2 2
Cartesian
-0.7007 -5.9620 1.1659
3.9717 -2.8464 0.3551
0.6323 -3.4240 1.3563
2.5496 -5.3355 0.1630
-1.8489 -5.3141 2.6940
2.8559 -2.2503 -1.2175
```

***

Most stable structure: 2)

***

1) ## TiAgO (PBE)

Data for a relaxed structure of TiAgO.

```
TiAgO
1.0
3.1246 -0.0045 -0.0065
-1.5550 2.7067 -0.0067
-1.5515 -0.8848 5.5179
Ti Ag O
1 1 1
Cartesian
0.4703 1.7641 1.8437
0.4785 -0.0298 5.1393
0.4651 -0.0370 2.6015
```

***

2) ## TiAgO (PBE)

Data for a relaxed structure of TiAgO.

```
TiAgO
1.0
-6.1908 7.0308 8.6537
-3.7989 -3.5593 0.1742
1.3375 -1.3279 2.0358
Ti Ag O
4 4 4
Cartesian
-4.2934 4.9715 7.9542
-0.5598 0.7314 2.7353
-3.0974 -0.3236 3.7144
-5.5547 2.4671 7.1492
0.0000 0.0000 0.0000
-4.9948 1.7357 4.4139
-2.4266 2.8514 5.3447
-1.2307 -2.4436 1.1050
-2.4974 0.8679 2.2070
-4.3968 -0.9118 2.2940
-5.5928 4.3833 6.5338
-7.4922 2.6036 6.6209
```

***

Most stable structure: 2)

***

1) ## Tl3AgO (PBE)

Data for a relaxed structure of Tl3AgO.

```
Tl3AgO
1.0
-4.6340 -1.1025 -2.6625
2.7488 -0.1776 -4.7107
0.8651 -5.3415 0.7062
Tl O Ag
3 1 1
Cartesian
1.3744 -0.0888 -2.3554
0.4325 -2.6707 0.3531
-2.3170 -0.5512 -1.3313
-0.5100 -3.3108 -3.3335
0.0000 0.0000 0.0000
```

***

2) ## Tl3AgO (PBE)

Data for a relaxed structure of Tl3AgO.

```
Tl3AgO
1.0
-2.4373 -2.6402 -3.5953
-3.0197 -2.0389 3.5443
-3.2831 3.8353 -0.5908
Tl O Ag
3 1 1
Cartesian
-1.5098 -1.0194 1.7721
-1.6415 1.9177 -0.2954
-1.2186 -1.3201 -1.7977
0.0000 0.0000 0.0000
-4.3700 -0.4219 -0.3209
```

***

Most stable structure: 2)

***

1) ## TlAg3O4 (PBE)

Data for a relaxed structure of TlAg3O4.

```
TlAg3O4
1.0
-0.5223 1.6882 -2.7491
-5.6507 -2.6571 -0.5581
0.4426 5.3660 3.2112
Tl Ag O
1 3 4
Cartesian
-0.2612 0.8441 -1.3745
0.2213 2.6830 1.6056
-2.8652 2.1986 -0.0480
-2.8253 -1.3285 -0.2790
-1.3358 0.6948 0.6805
-4.5823 -0.0622 -1.1101
-3.8724 2.0142 1.9727
-1.1482 4.4594 1.0142
```

***

2) ## TlAg3O4 (PBE)

Data for a relaxed structure of TlAg3O4.

```
TlAg3O4
1.0
6.1475 0.0000 0.0000
0.0000 6.1475 0.0000
0.0000 0.0000 6.1475
Tl O Ag
2 8 6
Cartesian
0.0000 0.0000 0.0000
3.0737 3.0737 3.0737
1.5369 1.5369 1.5369
1.5369 4.6106 1.5369
1.5369 1.5369 4.6106
1.5369 4.6106 4.6106
4.6106 1.5369 1.5369
4.6106 1.5369 4.6106
4.6106 4.6106 1.5369
4.6106 4.6106 4.6106
0.0000 3.0737 1.5369
0.0000 3.0737 4.6106
1.5369 0.0000 3.0737
3.0737 1.5369 0.0000
3.0737 4.6106 0.0000
4.6106 0.0000 3.0737
```

***

Most stable structure: 2)